Density functional theory data (PBE) for crystalline CuPbI2N at its relaxed geometry.

```
data_CuPbI2N
_chemical_formula_sum 'Cu1 Pb1 I2 N1'
_symmetry_space_group_name_H-M 'P 4/m m m'
_symmetry_Int_Tables_number 123
_symmetry_space_group_name_Hall '-P 4 2'
_cell_length_a 6.301
_cell_length_b 6.301
_cell_length_c 4.446
_cell_angle_alpha 90.00
_cell_angle_beta 90.00
_cell_angle_gamma 90.00
loop_
_atom_site_label
_atom_site_type_symbol
_atom_site_fract_x
_atom_site_fract_y
_atom_site_fract_z
Cu1 Cu 0.000 0.000 0.000
Pb1 Pb 0.500 0.500 0.500
I1 I 0.000 0.500 0.500
N1 N 0.500 0.500 0.000
```

Distance to the lowest polymorph of the same formula   576 meV/atom
Magnetic moment   1.26 Bohr magnetons per cell
ΔE_f (raw)   1066 meV per atom